The following is a DFT calculation (GGA-PBE) of a relaxed structure of TbUIn.

The raw total energy comes out at -67.16 eV/cell. The energy above the most stable polymorph in this dataset comes out at 0 meV/atom.

Cell lengths 7.2669, 7.2669, 7.2669 Å; angles 90.00, 90.00, 90.00 degrees
Last column: nearest neighbours and their distance in Å.
Space group F-43m (No. 216)
Inequivalent atoms, fractional coordinates:
Tb1 0.0000 0.0000 0.0000 x4  4 In 3.15
U1 0.0000 0.0000 0.5000 x4  4 In 3.15
In1 0.2500 0.2500 0.2500 x4  4 Tb 3.15, 4 U 3.15


The following is a DFT calculation (GGA-PBE) of a relaxed structure of TbYIn2.

The raw total energy comes out at -18.51 eV/cell.

Cell lengths 3.7591, 3.7591, 7.5333 Å; angles 90.00, 90.00, 90.00 degrees
Last column: nearest neighbours and their distance in Å.
Space group P4/mmm (No. 123)
Inequivalent atoms, fractional coordinates:
Tb1 0.0000 0.0000 0.0000 x1  8 In 3.26
Y1 0.0000 0.0000 0.5000 x1  8 In 3.25
In1 0.5000 0.5000 0.2509 x2  4 Y 3.25, 4 Tb 3.26


The following is a DFT calculation (GGA-PBE) of a relaxed structure of TbYIn6.

The raw total energy comes out at -30.41 eV/cell.

Cell lengths 6.6632, 6.6632, 5.1749 Å; angles 90.00, 90.00, 120.00 degrees
Last column: nearest neighbours and their distance in Å.
Space group P-6m2 (No. 187)
Inequivalent atoms, fractional coordinates:
Tb1 0.0000 0.0000 0.0000 x1  12 In 3.27-3.33
Y1 0.6667 0.3333 0.5000 x1  12 In 3.26-3.33
In1 0.0113 0.5057 0.0000 x3  8 In 3.18-3.44, 2 Y 3.26, 2 Tb 3.33
In2 0.1726 0.3451 0.5000 x3  8 In 3.18-3.45, 2 Tb 3.27, 2 Y 3.33